! CrGeO2, relaxed, DFT PBE with a Hubbard U; values from VASP
! * magnetic moment: 3.0 μB per formula unit
! * crystal system: trigonal
! * E_tot: -27.8 eV per cell
! * space-group type: R-3m, No. 166
! * Fermi-level density of states: 0.4 states/eV per cell
&SYSTEM
  ibrav = 0, nat = 4, ntyp = 3
/
ATOMIC_SPECIES
Cr 52.00 Cr.upf
Ge 72.64 Ge.upf
O 16.00 O.upf
ATOMIC_POSITIONS crystal
Cr 0.0000 0.0000 0.0000
Ge 0.5000 0.5000 0.5000
O 0.3882 0.3882 0.3882
O 0.6118 0.6118 0.6118
CELL_PARAMETERS angstrom
1.4867 0.8583 6.3173
-1.4867 0.8583 6.3173
0.0000 -1.7167 6.3173